Record 1
Below is Ba3GaSn4 after structural relaxation, with properties calculated at the GGA-PBE level.

## Properties
size of the total moment: 0.00 μB per formula unit
DFT total energy: -3.5012 eV per atom
volume: 318.4 Å³/cell
energy of formation from the pure elements: -400 meV per atom

Unit cell a=5.444 b=6.551 c=9.892 alpha=109.34 beta=105.97 gamma=90.00
Sites, in units of the cell vectors:
Sn 0.384 0.162 0.768
Ba 0.197 0.197 0.394
Ba 0.803 0.803 0.606
Sn 0.616 0.838 0.232
Ga 0.500 0.000 0.000
Sn 0.616 0.394 0.232
Sn 0.384 0.606 0.768
Ba 0.000 0.500 0.000

=====

Record 2
Below is BaPSN2 after structural relaxation, with properties calculated at the GGA-PBE level.

## Properties
size of the total moment: 3.90 μB per formula unit
DFT total energy: -3.5114 eV per atom
volume: 136.1 Å³/cell
relative energy among the computed polymorphs: 1725 meV/atom

Unit cell a=4.535 b=4.535 c=6.618 alpha=90.00 beta=90.00 gamma=90.00
Site moments in Bohr magnetons follow the coordinates.
Sites, in units of the cell vectors:
N 0.000 0.500 0.000  0.89
N 0.500 0.000 0.000  0.89
P 0.500 0.500 0.500  0.65
S 0.000 0.000 0.500  -0.14
Ba 0.000 0.000 0.000  0.05

=====

Record 3
Below is Fe2Ir2Rh7 after structural relaxation, with properties calculated at the GGA-PBE level.

## Properties
size of the total moment: 6.46 μB per formula unit
DFT total energy: -7.7260 eV per atom
volume: 158.0 Å³/cell
relative energy among the computed polymorphs: 0 meV/atom
energy of formation from the pure elements: 102 meV per atom

Unit cell a=6.466 b=5.000 c=5.000 alpha=93.01 beta=81.84 gamma=81.84
Site moments in Bohr magnetons follow the coordinates.
Sites, in units of the cell vectors:
Fe 0.500 0.316 0.684  2.75
Rh 0.201 0.077 0.459  0.09
Rh 0.799 0.541 0.923  0.09
Ir 0.846 0.402 0.402  -0.04
Fe 0.500 0.684 0.316  2.75
Rh 0.799 0.923 0.541  0.09
Rh 0.000 0.000 0.000  0.11
Rh 0.201 0.459 0.077  0.09
Ir 0.154 0.598 0.598  -0.04
Rh 0.575 0.163 0.163  0.26
Rh 0.425 0.837 0.837  0.26

=====

Record 4
Below is Li4Zr3S8 after structural relaxation, with properties calculated at the GGA-PBE level.

## Properties
size of the total moment: 0.00 μB per formula unit
DFT total energy: -5.8843 eV per atom
volume: 310.5 Å³/cell

Unit cell a=7.425 b=7.425 c=7.789 alpha=61.53 beta=61.53 gamma=60.00
Sites, in units of the cell vectors:
Li 0.635 0.635 0.095
Li 0.000 0.000 0.000
S 0.253 0.253 0.726
S 0.232 0.747 0.274
Li 0.365 0.365 0.905
Zr 0.000 0.000 0.500
Li 0.500 0.500 0.500
Zr 0.500 0.000 0.500
S 0.747 0.232 0.274
S 0.242 0.242 0.275
S 0.758 0.758 0.725
Zr 0.000 0.500 0.500
S 0.747 0.747 0.274
S 0.768 0.253 0.726
S 0.253 0.768 0.726

=====

Record 5
Below is BaCuPt2 after structural relaxation, with properties calculated at the GGA-PBE level.

## Properties
size of the total moment: 0.00 μB per formula unit
DFT total energy: -4.3560 eV per atom
volume: 85.3 Å³/cell
relative energy among the computed polymorphs: 660 meV/atom
energy of formation from the pure elements: 169 meV per atom

Unit cell a=4.941 b=4.941 c=4.941 alpha=60.00 beta=60.00 gamma=60.00
Sites, in units of the cell vectors:
Pt 0.750 0.750 0.750
Pt 0.250 0.250 0.250
Ba 0.500 0.500 0.500
Cu 0.000 0.000 0.000

=====

Record 6
Below is Pr2TiN3 after structural relaxation, with properties calculated at the GGA-PBE level.

## Properties
size of the total moment: 0.00 μB per formula unit
DFT total energy: -8.3639 eV per atom
volume: 182.4 Å³/cell
relative energy among the computed polymorphs: 88 meV/atom

Unit cell a=5.805 b=5.883 c=5.883 alpha=114.78 beta=90.00 gamma=90.00
Sites, in units of the cell vectors:
N 0.488 0.125 0.832
N 0.874 0.614 0.614
Ti 0.280 0.102 0.102
N 0.488 0.832 0.125
N 0.374 0.386 0.386
Pr 0.219 0.823 0.492
Pr 0.719 0.508 0.177
N 0.988 0.168 0.875
N 0.988 0.875 0.168
Pr 0.719 0.177 0.508
Pr 0.219 0.492 0.823
Ti 0.780 0.898 0.898

=====

Record 7
Below is LaYPd after structural relaxation, with properties calculated at the GGA-PBE level.

## Properties
size of the total moment: 0.32 μB per formula unit
DFT total energy: -6.0348 eV per atom
volume: 166.0 Å³/cell
relative energy among the computed polymorphs: 57 meV/atom
energy of formation from the pure elements: -507 meV per atom

Unit cell a=3.629 b=7.288 c=6.826 alpha=106.74 beta=105.50 gamma=89.95
Site moments in Bohr magnetons follow the coordinates.
Sites, in units of the cell vectors:
Y 0.574 0.114 0.914  0.04
Y 0.304 0.990 0.375  0.04
Pd 0.929 0.819 0.624  0.01
La 0.300 0.480 0.365  0.10
Pd 0.948 0.285 0.664  0.01
La 0.578 0.624 0.924  0.10

=====

Record 8
Below is ScSbNO2 after structural relaxation, with properties calculated at the GGA-PBE level.

## Properties
size of the total moment: 0.59 μB per formula unit
DFT total energy: -6.5508 eV per atom
volume: 66.0 Å³/cell

Unit cell a=4.020 b=4.020 c=4.083 alpha=90.00 beta=90.00 gamma=90.00
Site moments in Bohr magnetons follow the coordinates.
Sites, in units of the cell vectors:
Sb 0.000 0.000 0.000  -0.01
O 0.500 0.000 0.000  0.00
O 0.000 0.500 0.000  0.00
Sc 0.500 0.500 0.500  -0.50
N 0.000 0.000 0.500  0.02

=====

Record 9
Below is MgRu2Se after structural relaxation, with properties calculated at the GGA-PBE level.

## Properties
size of the total moment: 0.00 μB per formula unit
DFT total energy: -5.5755 eV per atom
volume: 140.9 Å³/cell
relative energy among the computed polymorphs: 297 meV/atom

Unit cell a=7.231 b=7.231 c=5.780 alpha=51.28 beta=51.28 gamma=90.00
Sites, in units of the cell vectors:
Ru 0.875 0.947 0.750
Ru 0.375 0.303 0.750
Se 0.750 0.250 0.500
Mg 0.250 0.750 0.500
Mg 0.500 0.500 0.000
Ru 0.053 0.625 0.250
Ru 0.697 0.125 0.250
Se 0.000 0.000 0.000